(1)
The following is a GGA-PBE calculation of an optimized crystal structure of Yb4Br6O, from the Alexandria database.

Geometry as extended XYZ:
```
22
Lattice="9.2873 0.0000 0.0000 0.0000 9.2873 0.0000 0.0000 0.0000 7.0753" Properties=species:S:1:pos:R:3 pbc="T T T"
Yb 0.1918 6.9655 0.7253
Yb 2.3218 4.8354 2.8123
Yb 2.3218 9.0956 2.8123
Yb 4.4519 6.9655 0.7253
Yb 4.8354 2.3218 6.3499
Yb 6.9655 0.1918 4.2630
Yb 6.9655 4.4519 4.2630
Yb 9.0956 2.3218 6.3499
Br 0.4326 5.0762 5.3065
Br 0.4326 8.8547 5.3065
Br 2.3218 2.3218 0.7602
Br 2.3218 2.3218 4.2979
Br 4.2111 5.0762 5.3065
Br 4.2111 8.8547 5.3065
Br 5.0762 0.4326 1.7688
Br 5.0762 4.2111 1.7688
Br 6.9655 6.9655 2.7774
Br 6.9655 6.9655 6.3151
Br 8.8547 0.4326 1.7688
Br 8.8547 4.2111 1.7688
O 2.3218 6.9655 1.7688
O 6.9655 2.3218 5.3065
```

Results
M_tot   1.92 μB/cell
Raw formation energy   -2.008 eV per atom

(2)
The following is a GGA-PBE calculation of an optimized crystal structure of NaScBe2Tc, from the Alexandria database.

Geometry as extended XYZ:
```
5
Lattice="4.9351 0.0000 0.0000 0.0000 4.9351 0.0000 0.0000 0.0000 4.5162" Properties=species:S:1:pos:R:3 pbc="T T T"
Na 0.0000 0.0000 0.0000
Sc 2.4676 2.4676 2.2581
Be 0.0000 2.4676 2.2581
Be 2.4676 0.0000 2.2581
Tc 2.4676 2.4676 0.0000
```

Results
M_tot   0.50 μB/cell
E_form   1.45 eV/atom

Number 1: density of states at the Fermi level 197.85 states/eV per cell, V 27.740 Å³ per atom. Number 2: density of states at the Fermi level 3.82 states/eV per cell, V 21.999 Å³ per atom.